Record 1
10
Lattice="4.384 0.000 0.000 0.000 8.175 -0.969 0.000 -2.894 7.921" Properties=species:S:1:pos:R:3 comment="Ce3TcSb, optimized geometry, DFT GGA-PBE" magnetic_moment_mub_per_fu=2.87 polymorph_energy_ev_per_atom=0.000 spacegroup="No. 11" formation_energy_uncorrected_kj_per_mol_fu=-213 pbc="T T T"
Ce 3.288 4.198 2.628
Ce 1.096 1.083 4.324
Ce 3.288 0.071 6.845
Ce 1.096 5.580 5.274
Ce 1.096 5.210 0.106
Ce 3.288 -0.299 1.678
Tc 1.096 6.298 2.123
Tc 3.288 -1.017 4.829
Sb 1.096 2.098 1.209
Sb 3.288 3.183 5.743



Record 2
4
Lattice="-1.779 2.472 1.250 -1.756 0.243 -2.982 -6.400 -5.274 1.322" Properties=species:S:1:pos:R:3 comment="BaW2Cl, optimized geometry, DFT GGA-PBE" magnetic_moment_mub_per_fu=0.00 polymorph_energy_ev_per_atom=0.000 spacegroup="No. 38" formation_energy_uncorrected_kj_per_mol_fu=66 pbc="T T T"
Ba -4.186 -2.497 -1.020
W -1.680 -0.050 -2.294
W -2.437 0.336 0.202
Cl -7.467 -2.619 -1.111